[1]
# LiErThRe

A relaxed LiErThRe crystal (GGA-PBE, Alexandria via LeMat-Bulk).

Lattice parameters (Å, degrees): 7.0538 7.0538 7.0538 90.00 90.00 90.00
Last column: nearest neighbours and their distance in Å.
Space group F-43m (No. 216)
Unique sites:
Li: 0.0000 0.0000 0.0000  4 Th 3.05, 4 Er 3.05
Er: 0.2500 0.2500 0.7500  4 Li 3.05, 4 Re 3.05
Th: 0.2500 0.2500 0.2500  4 Li 3.05, 4 Re 3.05
Re: 0.0000 0.0000 0.5000  4 Th 3.05, 4 Er 3.05

Properties
The density of states at the Fermi level is 2.61 states/eV/f.u.



[2]
# Ag6HgAu

A relaxed Ag6HgAu crystal (GGA-PBE, Alexandria via LeMat-Bulk).

Lattice parameters (Å, degrees): 4.1703 4.1703 8.4768 90.00 90.00 90.00
Last column: nearest neighbours and their distance in Å.
Space group P4/mmm (No. 123)
Unique sites:
Ag: 0.0000 0.0000 0.0000  8 Ag 2.94, 4 Au 2.95
Ag: 0.0000 0.0000 0.5000  4 Hg 2.95, 8 Ag 3.01
Ag: 0.0000 0.5000 0.2446  2 Au 2.94, 8 Ag 2.94-3.01, 2 Hg 3.01
Hg: 0.5000 0.5000 0.5000  12 Ag 2.95-3.01
Au: 0.5000 0.5000 0.0000  12 Ag 2.94-2.95

Properties
The calculation puts the offset from the most stable computed form at 0.000 eV per atom. The density of states at the Fermi level is 1.38 states/eV/f.u.



Number 1: ΔE_f -0.0196 eV/atom, uncorrected energy -6.606 eV per atom. Number 2: ΔE_f 0.0043 eV/atom, uncorrected energy -2.582 eV per atom.